# 1
5
Lattice="5.4205 0.0000 0.0000 0.0000 5.4205 0.0000 0.0000 0.0000 3.5167" Properties=species:S:1:pos:R:3 comment="MnFeI2N PBE relaxed" dft_energy_ev_per_cell=-26.5 sg="No. 123" raw_formation_energy_kj_per_mol_fu=250 crystal_system=tetragonal pbc="T T T"
Mn 0.0000 0.0000 0.0000
Fe 2.7102 2.7102 1.7584
I 0.0000 2.7102 1.7584
I 2.7102 0.0000 1.7584
N 2.7102 2.7102 0.0000



# 2
5
Lattice="5.4967 0.0000 0.0000 0.0000 5.4967 0.0000 0.0000 0.0000 3.5525" Properties=species:S:1:pos:R:3 comment="MnFeI2N PBE relaxed" dft_energy_ev_per_cell=-25.8 sg="No. 123" raw_formation_energy_kj_per_mol_fu=314 crystal_system=tetragonal pbc="T T T"
Mn 0.0000 0.0000 0.0000
Fe 2.7483 2.7483 1.7762
I 0.0000 2.7483 0.0000
I 2.7483 0.0000 0.0000
N 0.0000 0.0000 1.7762



# 3
5
Lattice="3.6733 0.0000 0.0000 0.0000 3.6733 0.0000 0.0000 0.0000 6.2142" Properties=species:S:1:pos:R:3 comment="MnFeIN2 PBE relaxed" dft_energy_ev_per_cell=-30.5 sg="No. 123" raw_formation_energy_kj_per_mol_fu=516 crystal_system=tetragonal pbc="T T T"
Mn 0.0000 0.0000 0.0000
Fe 1.8367 1.8367 3.1071
I 1.8367 1.8367 0.0000
N 0.0000 1.8367 3.1071
N 1.8367 0.0000 3.1071



# 4
5
Lattice="3.6619 0.0000 0.0000 0.0000 3.6619 0.0000 0.0000 0.0000 5.7687" Properties=species:S:1:pos:R:3 comment="MnFeIN2 PBE relaxed" dft_energy_ev_per_cell=-30.8 sg="No. 123" raw_formation_energy_kj_per_mol_fu=487 crystal_system=tetragonal pbc="T T T"
Mn 0.0000 0.0000 0.0000
Fe 1.8309 1.8309 2.8843
I 0.0000 0.0000 2.8843
N 0.0000 1.8309 0.0000
N 1.8309 0.0000 0.0000



- Which formula does entry 3 have?
  MnFeIN2